# 1
The following is a DFT calculation (GGA-PBE) of Rb2CoPtCl6 after structural relaxation.

Computed properties:
SG: I4/mmm, No. 139
ΔE_f (raw) (eV per atom): -0.939
Density (g/cm3): 4.452

abc: 7.2325 7.2325 6.8432
angles: 58.10 58.10 90.00
Each line ends with the local moment (μB).
Atoms (fractional coordinates):
Cl (0.7481, 0.2519, 0.0000)  -0.04
Cl (0.2580, 0.2580, 0.4840)  0.03
Cl (0.2519, 0.7481, 0.0000)  -0.04
Cl (0.2519, 0.2519, 0.0000)  -0.03
Cl (0.7481, 0.7481, 0.0000)  -0.03
Cl (0.7420, 0.7420, 0.5160)  0.03
Rb (0.2500, 0.7500, 0.5000)  0.00
Rb (0.7500, 0.2500, 0.5000)  0.00
Co (0.5000, 0.5000, 0.0000)  1.95
Pt (0.0000, 0.0000, 0.0000)  -0.60

=====

# 2
The following is a DFT calculation (GGA-PBE) of Li2Cd5Rh2 after structural relaxation.

Computed properties:
SG: P-1, No. 2
Formation enthalpy at 0 K (eV/atom): -0.12
Energy relative to the lowest polymorph listed for this composition (meV/atom): 21
Density (g/cm3): 7.763

abc: 3.0736 11.9843 8.6258
angles: 32.28 99.14 95.92
Atoms (fractional coordinates):
Li (0.3455, 0.3397, 0.7760)
Li (0.6545, 0.6603, 0.2240)
Cd (0.9201, 0.0336, 0.2913)
Cd (0.0000, 0.0000, 0.0000)
Cd (0.8912, 0.6043, 0.6626)
Cd (0.0799, 0.9664, 0.7087)
Cd (0.1088, 0.3957, 0.3374)
Rh (0.4867, 0.2961, 0.1783)
Rh (0.5133, 0.7039, 0.8217)

=====

# 3
The following is a DFT calculation (GGA-PBE) of YAgOs after structural relaxation.

Computed properties:
SG: P-6m2, No. 187
Formation enthalpy at 0 K (eV/atom): 0.30
Energy relative to the lowest polymorph listed for this composition (meV/atom): 20
Density (g/cm3): 10.427

abc: 4.5335 4.5335 3.4626
angles: 90.00 90.00 120.00
Atoms (fractional coordinates):
Y (0.6667, 0.3333, 0.6667)
Os (0.3333, 0.6667, 0.1666)
Ag (0.0000, 0.0000, 0.1668)

=====

# 4
The following is a DFT calculation (GGA-PBE) of Fe5P after structural relaxation.

Computed properties:
SG: C2/m, No. 12
Formation enthalpy at 0 K (eV/atom): -0.11
Energy relative to the lowest polymorph listed for this composition (meV/atom): 0
Density (g/cm3): 7.728

abc: 4.6498 4.6498 5.4656
angles: 73.50 73.50 36.23
Each line ends with the local moment (μB).
Atoms (fractional coordinates):
Fe (0.6583, 0.6583, 0.1603)  1.86
Fe (0.0000, 0.0000, 0.5000)  2.47
Fe (0.3417, 0.3417, 0.8397)  1.86
Fe (0.3304, 0.3304, 0.3270)  2.06
Fe (0.6696, 0.6696, 0.6730)  2.06
P (0.0000, 0.0000, 0.0000)  -0.06

=====

# 5
The following is a DFT calculation (GGA-PBE) of YbMn2Ge2 after structural relaxation.

Computed properties:
SG: I4/mmm, No. 139
Formation enthalpy at 0 K (eV/atom): -0.40
Density (g/cm3): 8.350

abc: 6.1222 6.1222 6.1222
angles: 142.32 142.32 54.35
Each line ends with the local moment (μB).
Atoms (fractional coordinates):
Ge (0.6209, 0.6209, 0.0000)  -0.11
Ge (0.3791, 0.3791, 0.0000)  -0.11
Mn (0.7500, 0.2500, 0.5000)  2.25
Mn (0.2500, 0.7500, 0.5000)  2.25
Yb (0.0000, 0.0000, 0.0000)  0.13

=====

# 6
The following is a DFT calculation (GGA-PBE) of LaCeIrBr after structural relaxation.

Computed properties:
SG: R3m, No. 160
ΔE_f (raw) (eV per atom): -1.115
Density (g/cm3): 7.749

abc: 4.1383 4.1383 8.3133
angles: 89.99 104.41 120.00
Each line ends with the local moment (μB).
Atoms (fractional coordinates):
Br (0.9635, 0.3798, 0.3583)  0.00
La (0.5067, 0.1514, 0.6732)  0.02
Ir (0.3098, 0.5528, 0.8780)  -0.04
Ce (0.0979, 0.9468, 0.0602)  0.71

=====

# 7
The following is a DFT calculation (GGA-PBE) of BaHgSe2 after structural relaxation.

Computed properties:
SG: Cmcm, No. 63
ΔE_f (raw) (eV per atom): -0.983
Density (g/cm3): 5.988

abc: 11.3759 11.3759 5.4838
angles: 90.00 90.00 157.20
Atoms (fractional coordinates):
Se (0.8144, 0.1856, 0.7500)
Se (0.0568, 0.9432, 0.7500)
Se (0.9432, 0.0568, 0.2500)
Se (0.1856, 0.8144, 0.2500)
Ba (0.3316, 0.6684, 0.2500)
Ba (0.6684, 0.3316, 0.7500)
Hg (0.0646, 0.9354, 0.2500)
Hg (0.9354, 0.0646, 0.7500)

=====

# 8
The following is a DFT calculation (GGA-PBE) of TaAl2Zn2 after structural relaxation.

Computed properties:
SG: P4/mbm, No. 127
Formation enthalpy at 0 K (eV/atom): 0.04
Energy relative to the lowest polymorph listed for this composition (meV/atom): 0
Density (g/cm3): 7.759

abc: 7.2931 7.2931 2.9430
angles: 90.00 90.00 90.00
Atoms (fractional coordinates):
Zn (0.6220, 0.1220, 0.0000)
Zn (0.3780, 0.8780, 0.0000)
Zn (0.1220, 0.3780, 0.0000)
Zn (0.8780, 0.6220, 0.0000)
Al (0.8223, 0.3223, 0.5000)
Al (0.1777, 0.6777, 0.5000)
Al (0.3223, 0.1777, 0.5000)
Al (0.6777, 0.8223, 0.5000)
Ta (0.5000, 0.5000, 0.0000)
Ta (0.0000, 0.0000, 0.0000)

=====

Question: Which value of density does entry 4 give?
Answer: 7.728 g/cm3